## CaYRe (PBE)

Data for an optimized crystal structure of CaYRe.

Computed properties:
The total magnetization is 0.000 μB/atom. The calculation puts the energy above the most stable polymorph in this dataset at 96 meV/atom. As for the crystal system: trigonal. Its space-group type is P3m1, No. 156.

Cell and atoms, written as POSCAR:
```
CaYRe
1.0
5.074 0.000 0.000
-2.537 4.394 0.000
0.000 0.000 3.085
Ca Y Re
1 1 1
Direct
0.000 0.000 0.000 Ca
0.333 0.667 0.501 Y
0.667 0.333 0.499 Re
```